w.
A plane-wave DFT calculation with PBE was carried out for a geometry-optimized CeSmN structure.

Values from the calculation:
volume = 256.7 Å³ per cell
density of states at the Fermi level = 17.71 states/eV/cell
space-group type = Pnma

Cell lengths 6.4580, 3.3342, 11.9234 Å; angles 90.00, 90.00, 90.00 degrees
Closest atoms and distances in Å follow each position.
Sites, in units of the cell vectors:
Ce 0.2254 0.2500 0.0064  3 N 2.41-2.64
Ce 0.2746 0.7500 0.5064  3 N 2.41-2.64
Ce 0.7254 0.2500 0.4936  3 N 2.41-2.64
Ce 0.7746 0.7500 0.9936  3 N 2.41-2.64
Sm 0.0991 0.7500 0.7614  2 N 2.43
Sm 0.4009 0.2500 0.2614  2 N 2.43
Sm 0.5991 0.7500 0.7386  2 N 2.43
Sm 0.9009 0.2500 0.2386  2 N 2.43
N 0.0927 0.7500 0.1330  3 Ce 2.41-2.64, 2 Sm 2.43
N 0.4073 0.2500 0.6330  3 Ce 2.41-2.64, 2 Sm 2.43
N 0.5927 0.7500 0.3670  3 Ce 2.41-2.64, 2 Sm 2.43
N 0.9073 0.2500 0.8670  3 Ce 2.41-2.64, 2 Sm 2.43



x.
A plane-wave DFT calculation with PBE was carried out for a geometry-optimized CeSmN structure.

Values from the calculation:
volume = 90.3 Å³ per cell
density of states at the Fermi level = 6.68 states/eV/cell
space-group type = I4mm

Cell lengths 5.2002, 5.2002, 5.2002 Å; angles 125.27, 125.27, 81.08 degrees
Closest atoms and distances in Å follow each position.
Sites, in units of the cell vectors:
Ce 0.0000 0.0000 0.0000  1 N 1.98
Sm 0.4806 0.4806 0.0000  1 N 2.12
N 0.7494 0.7494 0.0000  1 Ce 1.98, 1 Sm 2.12



The most stable of them is w.